# 1
First-principles (PBEsol) data for a relaxed structure of CaHgP2, as listed in Alexandria.

Cell lengths 3.5683, 4.6939, 5.7858 Å; angles 113.93, 107.96, 90.00 degrees
With the nearest neighbours (Å) after each atom.
Sites, in units of the cell vectors:
Ca 0.5011 0.5011 0.0021  6 P 2.97, 2 Hg 3.16
P 0.9668 0.9668 0.9337  2 P 2.32
P 0.3181 0.8181 0.6362  2 P 2.32
Hg 0.7140 0.2140 0.4280  6 P 3.04-3.12, 4 Ca 3.16-3.37

Summary:
SG: Imm2

=====

# 2
First-principles (PBEsol) data for a relaxed structure of CaHgP, as listed in Alexandria.

Cell lengths 4.2632, 4.2632, 4.2970 Å; angles 90.00, 90.00, 120.00 degrees
With the nearest neighbours (Å) after each atom.
Sites, in units of the cell vectors:
Hg 0.3333 0.6667 0.5887  3 P 2.60
P 0.6667 0.3333 0.3923  3 Hg 2.60
Ca 0.0000 0.0000 0.0190  3 P 2.94, 3 Hg 3.08

Summary:
SG: P3m1

=====

# 3
First-principles (PBEsol) data for a relaxed structure of Ca2HgP, as listed in Alexandria.

Cell lengths 4.2345, 4.2375, 7.4007 Å; angles 106.57, 90.00, 119.98 degrees
With the nearest neighbours (Å) after each atom.
Sites, in units of the cell vectors:
Hg 0.5000 0.0000 0.0000  6 Ca 3.22
Ca 0.2666 0.5332 0.2991  3 P 2.82
Ca 0.7334 0.4668 0.7009  3 P 2.82
P 0.0000 0.0000 0.5000  6 Ca 2.82

Summary:
SG: C2/m
ΔE to the lowest computed polymorph (eV per atom): 0.051

=====

# 4
First-principles (PBEsol) data for a relaxed structure of RbCaHg2P, as listed in Alexandria.

Cell lengths 5.2972, 5.8518, 5.8518 Å; angles 90.00, 90.00, 90.00 degrees
With the nearest neighbours (Å) after each atom.
Sites, in units of the cell vectors:
Hg 0.0000 0.5000 0.0000  2 Ca 2.93
Hg 0.0000 0.0000 0.5000  2 Ca 2.93
Rb 0.5000 0.5000 0.5000  8 Hg 3.95, 4 P 4.14
Ca 0.0000 0.0000 0.0000  2 P 2.65, 4 Hg 2.93
P 0.5000 0.0000 0.0000  2 Ca 2.65

Summary:
SG: P4/mmm

=====

# 5
First-principles (PBEsol) data for a relaxed structure of CaHg2Pb, as listed in Alexandria.

Cell lengths 4.5491, 4.5491, 5.8605 Å; angles 112.84, 112.84, 90.00 degrees
With the nearest neighbours (Å) after each atom.
Sites, in units of the cell vectors:
Pb 0.5000 0.5000 0.0000  8 Hg 3.22-3.34, 4 Ca 3.34
Ca 0.2500 0.7500 0.5000  8 Hg 3.22-3.34, 4 Pb 3.34
Hg 0.7500 0.2500 0.5000  4 Ca 3.22, 4 Hg 3.34, 4 Pb 3.34
Hg 0.0000 0.0000 0.0000  4 Pb 3.22, 4 Hg 3.34, 4 Ca 3.34

Summary:
SG: I-4m2

=====

# 6
First-principles (PBEsol) data for a relaxed structure of Ca3HgPb, as listed in Alexandria.

Cell lengths 5.9103, 5.9103, 5.9103 Å; angles 90.00, 90.00, 90.00 degrees
With the nearest neighbours (Å) after each atom.
Sites, in units of the cell vectors:
Ca 0.5000 0.0000 0.0000  2 Pb 2.96
Ca 0.0000 0.0000 0.5000  2 Pb 2.96
Ca 0.0000 0.5000 0.0000  2 Pb 2.96
Pb 0.0000 0.0000 0.0000  6 Ca 2.96
Hg 0.5000 0.5000 0.5000  12 Ca 4.18

Summary:
SG: Pm-3m

=====

# 7
First-principles (PBEsol) data for a relaxed structure of CaHg2Pb, as listed in Alexandria.

Cell lengths 4.8742, 5.4428, 4.8742 Å; angles 63.40, 90.00, 116.60 degrees
With the nearest neighbours (Å) after each atom.
Sites, in units of the cell vectors:
Hg 0.7500 0.5000 0.7500  4 Ca 3.22, 4 Pb 3.22, 4 Hg 3.45
Hg 0.2500 0.5000 0.2500  4 Pb 3.22, 4 Ca 3.22, 4 Hg 3.45
Ca 0.5000 0.0000 0.5000  8 Hg 3.22, 4 Pb 3.45
Pb 0.0000 0.0000 0.0000  8 Hg 3.22, 4 Ca 3.45

Summary:
SG: I4/mmm

=====

# 8
First-principles (PBEsol) data for a relaxed structure of CaHg2Pb, as listed in Alexandria.

Cell lengths 4.7092, 4.4981, 4.7106 Å; angles 90.00, 90.00, 90.00 degrees
With the nearest neighbours (Å) after each atom.
Sites, in units of the cell vectors:
Ca 0.0000 0.5000 0.5000  8 Hg 3.26, 4 Pb 3.33
Hg 0.0000 0.0000 0.0000  4 Pb 3.26, 4 Ca 3.26, 4 Hg 3.33
Hg 0.5000 0.0000 0.5000  4 Ca 3.26, 4 Pb 3.26, 4 Hg 3.33
Pb 0.5000 0.5000 0.0000  8 Hg 3.26, 4 Ca 3.33

Summary:
SG: P4/mmm

=====

# 9
First-principles (PBEsol) data for a relaxed structure of Ca2HgPb, as listed in Alexandria.

Cell lengths 5.3631, 5.3631, 5.3631 Å; angles 60.00, 60.00, 60.00 degrees
With the nearest neighbours (Å) after each atom.
Sites, in units of the cell vectors:
Ca 0.2500 0.2500 0.2500  4 Hg 3.28, 4 Pb 3.28
Ca 0.7500 0.7500 0.7500  4 Hg 3.28, 4 Pb 3.28
Pb 0.0000 0.0000 0.0000  8 Ca 3.28
Hg 0.5000 0.5000 0.5000  8 Ca 3.28

Summary:
SG: Fm-3m

=====

# 10
First-principles (PBEsol) data for a relaxed structure of CaHg2Pb, as listed in Alexandria.

Cell lengths 3.5087, 5.5619, 6.2944 Å; angles 115.45, 105.04, 92.49 degrees
With the nearest neighbours (Å) after each atom.
Sites, in units of the cell vectors:
Hg 0.5000 0.5000 0.5000  2 Ca 3.18, 2 Pb 3.18, 6 Hg 3.22-3.51
Hg 0.0000 0.0000 0.5000  2 Pb 3.18, 2 Ca 3.18, 6 Hg 3.22-3.51
Pb 0.5000 0.0000 0.0000  4 Hg 3.18, 4 Ca 3.22-3.35, 2 Pb 3.51
Ca 0.0000 0.5000 0.0000  4 Hg 3.18, 4 Pb 3.22-3.35, 2 Ca 3.51

Summary:
SG: C2/m

=====

# 11
First-principles (PBEsol) data for a relaxed structure of CaHgPb3, as listed in Alexandria.

Cell lengths 5.6313, 5.6313, 5.6313 Å; angles 90.00, 90.00, 90.00 degrees
With the nearest neighbours (Å) after each atom.
Sites, in units of the cell vectors:
Pb 0.5000 0.0000 0.0000  2 Hg 2.82
Pb 0.0000 0.0000 0.5000  2 Hg 2.82
Pb 0.0000 0.5000 0.0000  2 Hg 2.82
Ca 0.5000 0.5000 0.5000  12 Pb 3.98
Hg 0.0000 0.0000 0.0000  6 Pb 2.82

Summary:
SG: Pm-3m

=====

# 12
First-principles (PBEsol) data for a relaxed structure of Ca2HgPb, as listed in Alexandria.

Cell lengths 3.7687, 3.7687, 7.6944 Å; angles 90.00, 90.00, 90.00 degrees
With the nearest neighbours (Å) after each atom.
Sites, in units of the cell vectors:
Hg 0.5000 0.5000 0.0000  8 Ca 3.23
Ca 0.0000 0.0000 0.7632  4 Hg 3.23, 4 Pb 3.35
Ca 0.0000 0.0000 0.2368  4 Hg 3.23, 4 Pb 3.35
Pb 0.5000 0.5000 0.5000  8 Ca 3.35

Summary:
SG: P4/mmm

=====

no.,formation energy (eV per atom),total moment (μB per formula unit)
1,-0.383,0.00
2,-0.550,0.00
3,-0.790,0.00
4,-0.048,0.00
5,-0.351,0.00
6,-0.081,0.00
7,-0.407,0.00
8,-0.388,0.00
9,-0.652,0.00
10,-0.276,0.00
11,0.191,0.00
12,-0.622,0.00